# 1
DFT (GGA-PBE) results for a geometry-optimized LaHfBi structure.

Cell lengths 5.311, 5.311, 5.311 Å; angles 60.00, 60.00, 60.00 degrees
Fractional positions:
Hf (0.750, 0.750, 0.750)
La (0.000, 0.000, 0.000)
Bi (0.250, 0.250, 0.250)

Results
* raw total energy: -5.6293 eV/atom
* volume: 35.30 Å³/atom

---

# 2
DFT (GGA-PBE) results for a geometry-optimized La3HfBi5 structure.

Cell lengths 9.811, 9.811, 6.522 Å; angles 90.00, 90.00, 120.00 degrees
Fractional positions:
Hf (0.000, 0.000, 0.000)
Hf (0.000, 0.000, 0.500)
Bi (0.333, 0.667, 0.500)
Bi (0.000, 0.740, 0.750)
Bi (0.740, 0.000, 0.750)
Bi (0.667, 0.333, 0.500)
Bi (0.000, 0.260, 0.250)
Bi (0.740, 0.740, 0.250)
Bi (0.333, 0.667, 0.000)
Bi (0.260, 0.000, 0.250)
Bi (0.667, 0.333, 0.000)
Bi (0.260, 0.260, 0.750)
La (0.618, 0.618, 0.750)
La (0.000, 0.382, 0.750)
La (0.618, 0.000, 0.250)
La (0.000, 0.618, 0.250)
La (0.382, 0.000, 0.750)
La (0.382, 0.382, 0.250)

Results
* raw total energy: -5.8116 eV/atom
* volume: 30.20 Å³/atom

---

# 3
DFT (GGA-PBE) results for a geometry-optimized LiHf3Bi5 structure.

Cell lengths 6.018, 6.018, 9.054 Å; angles 90.00, 90.00, 120.00 degrees
Fractional positions:
Bi (0.667, 0.333, 0.787)
Bi (0.000, 0.000, 0.500)
Bi (0.333, 0.667, 0.213)
Bi (0.333, 0.667, 0.787)
Bi (0.667, 0.333, 0.213)
Hf (0.500, 0.000, 0.500)
Hf (0.500, 0.500, 0.500)
Hf (0.000, 0.500, 0.500)
Li (0.000, 0.000, 0.000)

Results
* raw total energy: -5.8526 eV/atom
* volume: 31.56 Å³/atom

---

# 4
DFT (GGA-PBE) results for a geometry-optimized LiHfNiBi structure.

Cell lengths 4.711, 4.711, 4.711 Å; angles 60.00, 60.00, 60.00 degrees
Fractional positions:
Li (0.500, 0.500, 0.500)
Hf (0.250, 0.250, 0.250)
Bi (0.000, 0.000, 0.000)
Ni (0.750, 0.750, 0.750)

Results
* raw total energy: -5.1276 eV/atom
* volume: 18.48 Å³/atom

---

# 5
DFT (GGA-PBE) results for a geometry-optimized LiHfNiBi structure.

Cell lengths 4.623, 4.623, 4.623 Å; angles 60.00, 60.00, 60.00 degrees
Fractional positions:
Bi (0.000, 0.000, 0.000)
Li (0.250, 0.250, 0.250)
Ni (0.750, 0.750, 0.750)
Hf (0.500, 0.500, 0.500)

Results
* raw total energy: -5.3734 eV/atom
* volume: 17.47 Å³/atom

---

# 6
DFT (GGA-PBE) results for a geometry-optimized LuHfBi structure.

Cell lengths 5.103, 5.103, 5.103 Å; angles 60.00, 60.00, 60.00 degrees
Fractional positions:
Hf (0.750, 0.750, 0.750)
Lu (0.000, 0.000, 0.000)
Bi (0.250, 0.250, 0.250)

Results
* raw total energy: -5.5368 eV/atom
* volume: 31.31 Å³/atom

---

Q: Among the records above, which one has the highest volume?
A: LaHfBi

---

Q: The highest raw total energy belongs to which entry?
A: number 4

---

Q: Which of these has the lowest volume?
A: number 5